[1]
Compound: ZrBiRu3
Source: the Alexandria database
Functional: GGA-PBE
Structure: relaxed

Cell and atoms, written as CIF:
```
data_ZrBiRu3
_cell_length_a 4.820
_cell_length_b 4.820
_cell_length_c 4.820
_cell_angle_alpha 90.00
_cell_angle_beta 90.00
_cell_angle_gamma 90.00
_space_group_name_H-M_alt 'P 1'
_space_group_IT_number 1
loop_
_space_group_symop_operation_xyz
'x,y,z'
loop_
_atom_site_label
_atom_site_fract_x
_atom_site_fract_y
_atom_site_fract_z
_atom_site_occupancy
Zr1 0.000 0.000 0.000 1
Bi1 0.500 0.500 0.500 1
Ru1 0.000 0.000 0.500 1
Ru2 0.000 0.500 0.000 1
Ru3 0.500 0.000 0.000 1
```

Results
* formation enthalpy at 0 K: 1357 meV/atom
* spin magnetization: 0.000 μB per cell


[2]
Compound: Zr3BiRu
Source: the Alexandria database
Functional: GGA-PBE
Structure: relaxed

Cell and atoms, written as CIF:
```
data_Zr3BiRu
_cell_length_a 5.039
_cell_length_b 5.039
_cell_length_c 5.039
_cell_angle_alpha 90.00
_cell_angle_beta 90.00
_cell_angle_gamma 90.00
_space_group_name_H-M_alt 'P 1'
_space_group_IT_number 1
loop_
_space_group_symop_operation_xyz
'x,y,z'
loop_
_atom_site_label
_atom_site_fract_x
_atom_site_fract_y
_atom_site_fract_z
_atom_site_occupancy
Zr1 0.000 0.000 0.500 1
Zr2 0.000 0.500 0.000 1
Zr3 0.500 0.000 0.000 1
Bi1 0.500 0.500 0.500 1
Ru1 0.000 0.000 0.000 1
```

Results
* formation enthalpy at 0 K: 47 meV/atom
* spin magnetization: 0.000 μB per cell


[3]
Compound: ZrBi3Ru
Source: the Alexandria database
Functional: GGA-PBE
Structure: relaxed

Cell and atoms, written as CIF:
```
data_ZrBi3Ru
_cell_length_a 5.602
_cell_length_b 5.602
_cell_length_c 5.602
_cell_angle_alpha 90.00
_cell_angle_beta 90.00
_cell_angle_gamma 90.00
_space_group_name_H-M_alt 'P 1'
_space_group_IT_number 1
loop_
_space_group_symop_operation_xyz
'x,y,z'
loop_
_atom_site_label
_atom_site_fract_x
_atom_site_fract_y
_atom_site_fract_z
_atom_site_occupancy
Zr1 0.000 0.000 0.000 1
Bi1 0.000 0.000 0.500 1
Bi2 0.000 0.500 0.000 1
Bi3 0.500 0.000 0.000 1
Ru1 0.500 0.500 0.500 1
```

Results
* formation enthalpy at 0 K: 1145 meV/atom
* spin magnetization: 2.360 μB per cell